# PBE TbCu5Pd, relaxed
data_TbCu5Pd
_chemical_formula_sum 'Tb4 Cu20 Pd4'
_symmetry_space_group_name_H-M 'P n m a'
_symmetry_Int_Tables_number 62
_symmetry_space_group_name_Hall '-P 2ac 2n'
_cell_length_a 8.1569
_cell_length_b 4.9574
_cell_length_c 10.2709
_cell_angle_alpha 90.00
_cell_angle_beta 90.00
_cell_angle_gamma 90.00
loop_
_atom_site_label
_atom_site_fract_x
_atom_site_fract_y
_atom_site_fract_z
Tb1 0.2408 0.2500 0.0662
Cu1 0.0527 0.7500 0.1007
Cu2 0.0662 0.0030 0.3113
Cu3 0.0923 0.2500 0.5168
Cu4 0.1870 0.2500 0.7475
Pd1 0.1402 0.7500 0.8597
# - E_tot: -4.61 eV/atom
# - ΔE_f: -0.277 eV per atom

# PBE K6BaNa, relaxed
data_K6BaNa
_chemical_formula_sum 'K12 Ba2 Na2'
_symmetry_space_group_name_H-M 'A m m 2'
_symmetry_Int_Tables_number 38
_symmetry_space_group_name_Hall 'A 2 -2'
_cell_length_a 4.7484
_cell_length_b 15.0244
_cell_length_c 14.8759
_cell_angle_alpha 90.00
_cell_angle_beta 90.00
_cell_angle_gamma 90.00
loop_
_atom_site_label
_atom_site_fract_x
_atom_site_fract_y
_atom_site_fract_z
K1 0.0000 0.0000 0.0000
K2 0.0000 0.2321 0.2163
K3 0.5000 0.0000 0.7262
K4 0.5000 0.2456 0.9646
Ba1 0.0000 0.0000 0.4559
Na1 0.5000 0.0000 0.2313
# - E_tot: -1.18 eV/atom
# - ΔE_f: 0.048 eV per atom

# PBE MgMnAl2, relaxed
data_MgMnAl2
_chemical_formula_sum 'Mg4 Mn4 Al8'
_symmetry_space_group_name_H-M 'I -4 2 d'
_symmetry_Int_Tables_number 122
_symmetry_space_group_name_Hall 'I -4 2bw'
_cell_length_a 3.8966
_cell_length_b 3.8966
_cell_length_c 18.1402
_cell_angle_alpha 90.00
_cell_angle_beta 90.00
_cell_angle_gamma 90.00
loop_
_atom_site_label
_atom_site_fract_x
_atom_site_fract_y
_atom_site_fract_z
Mg1 0.0000 0.0000 0.0000
Mn1 0.0000 0.0000 0.5000
Al1 0.2145 0.2500 0.6250
# - E_tot: -4.00 eV/atom
# - ΔE_f: 0.567 eV per atom

# PBE LaSi3Tc3, relaxed
data_LaSi3Tc3
_chemical_formula_sum 'La2 Si6 Tc6'
_symmetry_space_group_name_H-M 'P 1 21/m 1'
_symmetry_Int_Tables_number 11
_symmetry_space_group_name_Hall '-P 2yb'
_cell_length_a 7.4550
_cell_length_b 4.1885
_cell_length_c 8.0007
_cell_angle_alpha 90.00
_cell_angle_beta 98.41
_cell_angle_gamma 90.00
loop_
_atom_site_label
_atom_site_fract_x
_atom_site_fract_y
_atom_site_fract_z
La1 0.1598 0.2500 0.3726
Si1 0.1102 0.2500 0.8146
Si2 0.2102 0.7500 0.0905
Si3 0.4274 0.7500 0.5518
Tc1 0.2783 0.7500 0.7938
Tc2 0.3907 0.2500 0.0348
Tc3 0.4936 0.2500 0.7300
# - ΔE_f (raw): -0.472 eV per atom
# - Energy relative to the lowest polymorph listed for this composition: 0.0000 eV per atom
# - E_tot: -7.94 eV/atom

| no. | total magnetic moment (Bohr magnetons per cell) |
| --- | --- |
| 1 | 0.00 |
| 2 | 0.00 |
| 3 | 0.00 |
| 4 | 0.00 |